Density functional theory data (PBE+U) for crystalline KCoTcO4 at its relaxed geometry.

* VASP energy: -6.428 eV/atom
* symmetry: P2_1/m

POSCAR file:
```
KCoTcO4
1.0
5.829 0.000 0.000
0.000 5.798 0.000
-1.636 0.000 6.997
K Co Tc O
2 2 2 8
Direct
0.249 0.250 0.451
0.751 0.750 0.549
0.370 0.250 0.982
0.630 0.750 0.018
0.209 0.750 0.169
0.791 0.250 0.831
0.044 0.250 0.036
0.127 0.750 0.394
0.455 0.530 0.171
0.455 0.970 0.171
0.545 0.030 0.829
0.545 0.470 0.829
0.873 0.250 0.606
0.956 0.750 0.964
```